PBE Dy4HoN5, relaxed; final energy = -8.176 eV per atom; ΔE_f (raw) = -1.714 eV per atom; M_tot = 0.000 μB per cell
1.0
4.418 0.000 2.131
2.209 5.485 1.065
-0.174 0.000 6.005
Dy Ho N
4 1 5
direct
0.401 0.400 0.800
0.801 0.800 0.600
0.201 0.200 0.400
0.601 0.600 0.200
0.001 0.000 0.000
0.901 0.399 0.801
0.300 0.801 0.601
0.702 0.199 0.399
0.101 0.601 0.199
0.501 0.000 0.000

***

PBE Dy2Ho2N3, relaxed; final energy = -7.654 eV per atom; ΔE_f (raw) = -1.463 eV per atom; M_tot = 0.000 μB per cell
1.0
-1.499 -2.913 -1.172
4.498 -3.268 2.368
-2.925 1.550 5.055
Dy Ho N
2 2 3
direct
0.867 0.635 0.734
0.133 0.365 0.266
0.625 0.886 0.251
0.375 0.114 0.749
0.000 0.000 0.000
0.747 0.248 0.494
0.253 0.752 0.506

***

PBE DyHoN, relaxed; E above lowest polymorph = 213 meV per atom; final energy = -6.671 eV per atom; ΔE_f (raw) = -0.836 eV per atom; M_tot = 0.000 μB per cell
1.0
-2.604 2.003 -0.236
-3.344 -3.988 3.044
3.619 6.122 11.996
Dy N Ho
4 4 4
direct
0.250 0.282 0.946
0.750 0.218 0.446
0.750 0.718 0.054
0.250 0.782 0.554
0.250 0.451 0.099
0.750 0.549 0.901
0.250 0.951 0.401
0.750 0.049 0.599
0.750 0.756 0.327
0.750 0.256 0.173
0.250 0.744 0.827
0.250 0.244 0.673

***

PBE DyHoN2, relaxed; final energy = -7.941 eV per atom; ΔE_f (raw) = -1.483 eV per atom; M_tot = 0.000 μB per cell
1.0
-1.973 2.770 -0.048
-2.063 0.665 2.622
2.943 4.245 3.445
Dy Ho N
1 1 2
direct
0.498 0.498 0.506
0.668 0.668 0.995
0.082 0.082 0.755
0.252 0.252 0.244

***

PBE DyHo2N, relaxed; E above lowest polymorph = 585 meV per atom; final energy = -5.728 eV per atom; ΔE_f (raw) = -0.207 eV per atom; M_tot = 0.000 μB per cell
1.0
3.165 0.000 0.000
0.000 3.165 0.000
0.000 0.000 8.689
N Ho Dy
1 2 1
direct
0.500 0.500 0.000
0.000 0.000 0.839
0.000 0.000 0.161
0.500 0.500 0.500

***

PBE DyHo3N4, relaxed; final energy = -8.190 eV per atom; ΔE_f (raw) = -1.735 eV per atom; M_tot = 0.000 μB per cell
1.0
5.985 0.055 0.000
-2.046 5.625 0.000
0.000 0.000 6.914
N Ho Dy
8 6 2
direct
0.001 0.250 0.624
0.500 0.251 0.875
0.501 0.250 0.376
0.000 0.251 0.125
0.000 0.749 0.875
0.499 0.750 0.624
0.500 0.749 0.125
0.999 0.750 0.376
0.750 0.000 0.375
0.250 0.000 0.625
0.750 0.500 0.625
0.750 0.500 0.125
0.250 0.500 0.375
0.250 0.500 0.875
0.750 0.000 0.875
0.250 0.000 0.125

***

PBE DyHo3N4, relaxed; final energy = -8.190 eV per atom; ΔE_f (raw) = -1.735 eV per atom; M_tot = 0.000 μB per cell
1.0
4.888 0.000 0.000
0.000 4.888 0.000
0.000 0.000 4.888
Dy Ho N
1 3 4
direct
0.000 0.000 0.000
0.000 0.500 0.500
0.500 0.000 0.500
0.500 0.500 0.000
0.500 0.000 0.000
0.000 0.500 0.000
0.000 0.000 0.500
0.500 0.500 0.500

***

PBE Dy3HoN4, relaxed; final energy = -8.176 eV per atom; ΔE_f (raw) = -1.715 eV per atom; M_tot = 0.000 μB per cell
1.0
-1.412 -3.232 -3.408
4.665 -1.375 -0.628
-0.542 -3.423 3.470
Dy Ho N
3 1 4
direct
0.000 0.500 0.500
0.500 0.000 0.500
0.500 0.500 0.000
0.000 0.000 0.000
0.500 0.000 0.000
0.000 0.500 0.000
0.000 0.000 0.500
0.500 0.500 0.500

***

PBE DyHo4N5, relaxed; final energy = -8.192 eV per atom; ΔE_f (raw) = -1.738 eV per atom; M_tot = 0.000 μB per cell
1.0
4.401 0.000 2.123
2.201 5.462 1.061
-0.172 0.000 5.981
Dy Ho N
1 4 5
direct
0.001 0.000 0.000
0.401 0.400 0.800
0.801 0.800 0.600
0.201 0.200 0.400
0.601 0.600 0.200
0.900 0.401 0.799
0.302 0.799 0.599
0.700 0.201 0.401
0.101 0.599 0.201
0.501 0.000 0.000

***

PBE DyHoN, relaxed; E above lowest polymorph = 730 meV per atom; final energy = -6.154 eV per atom; ΔE_f (raw) = -0.319 eV per atom; M_tot = 0.000 μB per cell
1.0
4.229 0.000 0.000
2.115 3.663 0.000
2.115 1.221 3.453
N Ho Dy
1 1 1
direct
0.250 0.250 0.250
0.000 0.000 0.000
0.500 0.500 0.500

***

PBE Dy5Ho3N8, relaxed; final energy = -8.179 eV per atom; ΔE_f (raw) = -1.720 eV per atom; M_tot = 0.000 μB per cell
1.0
0.811 1.104 6.793
6.319 1.183 2.588
1.672 6.317 2.308
Dy Ho N
5 3 8
direct
0.500 0.000 0.000
0.500 0.500 0.000
0.000 0.000 0.000
0.000 0.500 0.000
0.500 0.500 0.500
0.500 0.000 0.500
0.000 0.000 0.500
0.000 0.500 0.500
0.250 0.250 0.749
0.250 0.751 0.749
0.751 0.250 0.749
0.750 0.750 0.749
0.750 0.750 0.251
0.750 0.249 0.251
0.249 0.750 0.251
0.250 0.250 0.251

***

PBE DyHoN, relaxed; E above lowest polymorph = 0 meV per atom; final energy = -6.884 eV per atom; ΔE_f (raw) = -1.049 eV per atom; M_tot = 0.641 μB per cell
1.0
-5.625 -1.466 1.343
-0.429 -1.293 -3.207
1.149 -2.056 2.568
N Ho Dy
1 1 1
direct
0.331 0.333 0.667
0.111 0.000 0.000
0.558 0.667 0.333

***

PBE Dy5HoN6, relaxed; final energy = -8.175 eV per atom; ΔE_f (raw) = -1.713 eV per atom; M_tot = 0.000 μB per cell
1.0
0.526 3.169 5.078
3.685 -2.872 3.779
5.903 1.121 -0.126
N Ho Dy
6 1 5
direct
0.750 0.083 0.332
0.250 0.584 0.332
0.250 0.249 0.000
0.750 0.751 0.000
0.750 0.416 0.668
0.250 0.917 0.668
0.000 0.000 0.000
0.500 0.167 0.667
0.000 0.333 0.333
0.500 0.500 0.000
0.000 0.667 0.667
0.500 0.833 0.333

***

PBE Dy2Ho4N, relaxed; final energy = -5.393 eV per atom; ΔE_f (raw) = -0.273 eV per atom; M_tot = 0.000 μB per cell
1.0
4.753 0.000 0.000
0.000 4.753 0.000
2.377 2.377 8.762
N Ho Dy
1 4 2
direct
0.000 0.000 0.000
0.133 0.133 0.735
0.867 0.867 0.265
0.000 0.500 0.000
0.500 0.000 0.000
0.331 0.331 0.339
0.669 0.669 0.661

***

PBE DyHo2N, relaxed; E above lowest polymorph = 0 meV per atom; final energy = -6.312 eV per atom; ΔE_f (raw) = -0.792 eV per atom; M_tot = 0.000 μB per cell
1.0
-0.569 1.598 3.019
-0.946 -1.836 2.779
8.078 -1.177 4.131
N Ho Dy
1 2 1
direct
0.000 0.000 0.000
0.283 0.283 0.152
0.717 0.717 0.848
0.500 0.500 0.500

***

PBE Dy2HoN3, relaxed; final energy = -8.178 eV per atom; ΔE_f (raw) = -1.718 eV per atom; M_tot = 0.000 μB per cell
1.0
-3.228 1.530 -3.355
-5.034 -0.178 4.763
2.049 9.877 2.534
Dy Ho N
8 4 12
direct
0.250 0.875 0.750
0.250 0.375 0.750
0.250 0.875 0.417
0.250 0.375 0.083
0.750 0.625 0.917
0.750 0.125 0.583
0.750 0.625 0.250
0.750 0.125 0.250
0.250 0.875 0.083
0.250 0.375 0.417
0.750 0.625 0.583
0.750 0.125 0.917
0.250 0.624 0.583
0.250 0.124 0.917
0.250 0.627 0.917
0.250 0.127 0.583
0.250 0.625 0.250
0.250 0.125 0.250
0.750 0.875 0.750
0.750 0.375 0.750
0.750 0.873 0.417
0.750 0.373 0.083
0.750 0.876 0.083
0.750 0.376 0.417

***

PBE Dy3HoN4, relaxed; final energy = -8.176 eV per atom; ΔE_f (raw) = -1.715 eV per atom; M_tot = 0.000 μB per cell
1.0
6.005 0.055 0.000
-2.053 5.644 0.000
0.000 0.000 6.938
N Ho Dy
8 2 6
direct
0.999 0.250 0.625
0.500 0.249 0.876
0.499 0.250 0.375
0.000 0.249 0.124
0.000 0.751 0.876
0.501 0.750 0.625
0.500 0.751 0.124
0.001 0.750 0.375
0.750 0.000 0.875
0.250 0.000 0.125
0.750 0.000 0.375
0.250 0.000 0.625
0.750 0.500 0.625
0.750 0.500 0.125
0.250 0.500 0.375
0.250 0.500 0.875

***

PBE DyHo2N3, relaxed; final energy = -8.187 eV per atom; ΔE_f (raw) = -1.731 eV per atom; M_tot = 0.000 μB per cell
1.0
-1.461 1.403 4.450
-6.593 -0.317 -2.064
-0.456 -9.929 2.980
Dy Ho N
4 8 12
direct
0.250 0.875 0.083
0.250 0.375 0.417
0.750 0.625 0.583
0.750 0.125 0.917
0.250 0.875 0.750
0.250 0.375 0.750
0.250 0.875 0.417
0.250 0.375 0.083
0.750 0.625 0.917
0.750 0.125 0.583
0.750 0.625 0.250
0.750 0.125 0.250
0.250 0.626 0.584
0.250 0.126 0.916
0.250 0.624 0.916
0.250 0.124 0.584
0.250 0.625 0.250
0.250 0.125 0.250
0.750 0.875 0.750
0.750 0.375 0.750
0.750 0.876 0.416
0.750 0.376 0.084
0.750 0.874 0.084
0.750 0.374 0.416

***

PBE Dy2HoNbN4, relaxed; final energy = -8.672 eV per atom; ΔE_f (raw) = -1.528 eV per atom; M_tot = 0.000 μB per cell
1.0
3.352 0.000 0.000
0.000 5.820 0.118
0.000 -2.020 5.464
Dy Ho Nb N
2 1 1 4
direct
0.500 0.000 0.500
0.000 0.500 0.500
0.500 0.500 0.000
0.000 0.000 0.000
0.500 0.234 0.233
0.500 0.766 0.767
0.000 0.240 0.763
0.000 0.760 0.237

***

PBE NdDyHoN3, relaxed; final energy = -7.906 eV per atom; ΔE_f (raw) = -1.419 eV per atom; M_tot = 0.000 μB per cell
1.0
3.512 0.000 0.000
0.000 6.033 0.289
0.000 -2.276 8.800
Nd Dy Ho N
2 2 2 6
direct
0.750 0.655 0.698
0.250 0.345 0.302
0.250 0.769 0.045
0.750 0.231 0.955
0.250 0.149 0.640
0.750 0.851 0.360
0.250 0.755 0.491
0.750 0.035 0.154
0.750 0.541 0.167
0.750 0.245 0.509
0.250 0.459 0.833
0.250 0.965 0.846